Entry 1:
! Zr3ZnIn2Pt3 (PBE, relaxed); values from VASP
! VASP energy	-6.4204	eV per atom
&SYSTEM
  ibrav = 0, nat = 9, ntyp = 4
/
ATOMIC_SPECIES
Zr 91.22 Zr.upf
Zn 65.41 Zn.upf
In 114.82 In.upf
Pt 195.08 Pt.upf
CELL_PARAMETERS angstrom
3.557 0.000 0.000
0.000 6.499 3.737
0.000 -6.499 3.737
ATOMIC_POSITIONS angstrom
Zr 0.000 0.000 0.000
Zr 0.000 -2.480 4.625
Zr 0.000 2.480 4.625
Zn 1.778 0.000 5.138
In 1.778 -1.718 2.064
In 1.778 1.718 2.064
Pt 0.000 0.000 3.228
Pt 1.778 -4.354 3.035
Pt 1.778 4.354 3.035

Entry 2:
! MgTcNiPb (PBE, relaxed); values from VASP
! E above lowest polymorph	0.000	eV/atom
! VASP energy	-4.9943	eV per atom
&SYSTEM
  ibrav = 0, nat = 4, ntyp = 4
/
ATOMIC_SPECIES
Mg 24.30 Mg.upf
Tc 98.00 Tc.upf
Ni 58.69 Ni.upf
Pb 207.20 Pb.upf
CELL_PARAMETERS angstrom
0.000 3.213 3.213
3.213 0.000 3.213
3.213 3.213 0.000
ATOMIC_POSITIONS angstrom
Mg 0.000 0.000 0.000
Tc 1.606 1.606 1.606
Ni 4.819 4.819 4.819
Pb 3.213 3.213 3.213

Entry 3:
! AcErHf (PBE, relaxed); values from VASP
! E above lowest polymorph	0.000	eV/atom
! VASP energy	-5.3669	eV per atom
! E_form	841	meV/atom
&SYSTEM
  ibrav = 0, nat = 3, ntyp = 3
/
ATOMIC_SPECIES
Ac 227.00 Ac.upf
Er 167.26 Er.upf
Hf 178.49 Hf.upf
CELL_PARAMETERS angstrom
0.000 3.793 3.793
3.793 0.000 3.793
3.793 3.793 0.000
ATOMIC_POSITIONS angstrom
Ac 0.000 0.000 0.000
Er 3.793 3.793 3.793
Hf 1.897 1.897 1.897

Entry 4:
! DyHfNi2As2 (PBE, relaxed); values from VASP
! E above lowest polymorph	0.087	eV/atom
! VASP energy	-6.7476	eV per atom
&SYSTEM
  ibrav = 0, nat = 12, ntyp = 4
/
ATOMIC_SPECIES
Dy 162.50 Dy.upf
Hf 178.49 Hf.upf
Ni 58.69 Ni.upf
As 74.92 As.upf
CELL_PARAMETERS angstrom
3.958 0.000 0.000
-1.979 3.428 0.000
0.000 0.000 15.069
ATOMIC_POSITIONS angstrom
Dy 0.000 0.000 3.767
Dy 0.000 0.000 11.301
Hf 0.000 0.000 0.000
Hf 0.000 0.000 7.534
Ni 0.000 2.285 1.647
Ni 0.000 2.285 5.887
Ni 1.979 1.143 9.182
Ni 1.979 1.143 13.421
As 0.000 2.285 9.366
As 0.000 2.285 13.237
As 1.979 1.143 1.831
As 1.979 1.143 5.703

The lowest VASP energy belongs to which entry? DyHfNi2As2